Entry 1:
Below is crystalline CdPbSeO at its relaxed geometry, with properties calculated at the GGA-PBE level.

```
data_CdPbSeO
_cell_length_a 3.984
_cell_length_b 3.984
_cell_length_c 12.914
_cell_angle_alpha 90.00
_cell_angle_beta 90.00
_cell_angle_gamma 90.00
_symmetry_space_group_name_H-M 'P 4/n m m'
_symmetry_Int_Tables_number 129
loop_
_symmetry_equiv_pos_as_xyz
'x,y,z'
'-x,-y,-z'
'-y+1/2,x,z'
'y+1/2,-x,-z'
'-x+1/2,-y+1/2,z'
'x+1/2,y+1/2,-z'
'y,-x+1/2,z'
'-y,x+1/2,-z'
'x+1/2,-y,-z'
'-x+1/2,y,z'
'-y,-x,-z'
'y,x,z'
'-x,y+1/2,-z'
'x,-y+1/2,z'
'y+1/2,x+1/2,-z'
'-y+1/2,-x+1/2,z'
loop_
_atom_site_label
_atom_site_type_symbol
_atom_site_fract_x
_atom_site_fract_y
_atom_site_fract_z
_atom_site_occupancy
Cd1 Cd 0.250 0.250 0.089 1
Pb1 Pb 0.250 0.250 0.594 1
Se1 Se 0.250 0.250 0.877 1
O1 O 0.250 0.750 0.500 1
```

Summary:
**Raw total energy**: -4.02 eV/atom
**Energy above the lowest structure with this stoichiometry**: 40 meV per atom

Entry 2:
Below is crystalline CdPbSeO at its relaxed geometry, with properties calculated at the GGA-PBE level.

```
data_CdPbSeO
_cell_length_a 3.749
_cell_length_b 15.152
_cell_length_c 6.629
_cell_angle_alpha 90.00
_cell_angle_beta 90.00
_cell_angle_gamma 90.00
_symmetry_space_group_name_H-M 'C m c 21'
_symmetry_Int_Tables_number 36
_symmetry_space_group_name_Hall 'C 2c -2'
loop_
_atom_site_label
_atom_site_type_symbol
_atom_site_fract_x
_atom_site_fract_y
_atom_site_fract_z
_atom_site_occupancy
Cd1 Cd 0.000 0.173 0.000 1
Pb1 Pb 0.000 0.441 0.078 1
Se1 Se 0.000 0.186 0.410 1
O1 O 0.000 0.404 0.414 1
```

Summary:
**Raw total energy**: -3.92 eV/atom
**Energy above the lowest structure with this stoichiometry**: 137 meV per atom

Entry 3:
Below is crystalline CdPbSeO at its relaxed geometry, with properties calculated at the GGA-PBE level.

```
data_CdPbSeO
_cell_length_a 5.170
_cell_length_b 5.170
_cell_length_c 7.644
_cell_angle_alpha 90.00
_cell_angle_beta 90.00
_cell_angle_gamma 90.00
_symmetry_space_group_name_H-M 'P 4/n m m'
_symmetry_Int_Tables_number 129
loop_
_symmetry_equiv_pos_as_xyz
'x,y,z'
'-x,-y,-z'
'-y+1/2,x,z'
'y+1/2,-x,-z'
'-x+1/2,-y+1/2,z'
'x+1/2,y+1/2,-z'
'y,-x+1/2,z'
'-y,x+1/2,-z'
'x+1/2,-y,-z'
'-x+1/2,y,z'
'-y,-x,-z'
'y,x,z'
'-x,y+1/2,-z'
'x,-y+1/2,z'
'y+1/2,x+1/2,-z'
'-y+1/2,-x+1/2,z'
loop_
_atom_site_label
_atom_site_type_symbol
_atom_site_fract_x
_atom_site_fract_y
_atom_site_fract_z
_atom_site_occupancy
Cd1 Cd 0.250 0.250 0.131 1
Pb1 Pb 0.250 0.250 0.678 1
Se1 Se 0.250 0.750 0.000 1
O1 O 0.250 0.250 0.409 1
```

Summary:
**Raw total energy**: -3.75 eV/atom
**Energy above the lowest structure with this stoichiometry**: 304 meV per atom

Entry 4:
Below is crystalline CdPbSeO at its relaxed geometry, with properties calculated at the GGA-PBE level.

```
data_CdPbSeO
_cell_length_a 4.569
_cell_length_b 4.569
_cell_length_c 8.886
_cell_angle_alpha 90.00
_cell_angle_beta 90.00
_cell_angle_gamma 90.00
_symmetry_space_group_name_H-M 'P 4/n m m'
_symmetry_Int_Tables_number 129
loop_
_symmetry_equiv_pos_as_xyz
'x,y,z'
'-x,-y,-z'
'-y+1/2,x,z'
'y+1/2,-x,-z'
'-x+1/2,-y+1/2,z'
'x+1/2,y+1/2,-z'
'y,-x+1/2,z'
'-y,x+1/2,-z'
'x+1/2,-y,-z'
'-x+1/2,y,z'
'-y,-x,-z'
'y,x,z'
'-x,y+1/2,-z'
'x,-y+1/2,z'
'y+1/2,x+1/2,-z'
'-y+1/2,-x+1/2,z'
loop_
_atom_site_label
_atom_site_type_symbol
_atom_site_fract_x
_atom_site_fract_y
_atom_site_fract_z
_atom_site_occupancy
Cd1 Cd 0.250 0.250 0.231 1
Pb1 Pb 0.250 0.750 0.500 1
Se1 Se 0.250 0.250 0.797 1
O1 O 0.250 0.250 0.991 1
```

Summary:
**Raw total energy**: -3.37 eV/atom
**Energy above the lowest structure with this stoichiometry**: 686 meV per atom

Entry 5:
Below is crystalline CdPbSeO at its relaxed geometry, with properties calculated at the GGA-PBE level.

```
data_CdPbSeO
_cell_length_a 6.264
_cell_length_b 4.073
_cell_length_c 14.784
_cell_angle_alpha 90.00
_cell_angle_beta 90.00
_cell_angle_gamma 90.00
_symmetry_space_group_name_H-M 'P n m a'
_symmetry_Int_Tables_number 62
_symmetry_space_group_name_Hall '-P 2ac 2n'
loop_
_atom_site_label
_atom_site_type_symbol
_atom_site_fract_x
_atom_site_fract_y
_atom_site_fract_z
_atom_site_occupancy
Cd1 Cd 0.138 0.250 0.195 1
Pb1 Pb 0.242 0.750 0.416 1
Se1 Se 0.238 0.250 0.591 1
O1 O 0.217 0.750 0.829 1
```

Summary:
**Raw total energy**: -4.05 eV/atom
**Energy above the lowest structure with this stoichiometry**: 5 meV per atom

Entry 6:
Below is crystalline CdPbSeO at its relaxed geometry, with properties calculated at the GGA-PBE level.

```
data_CdPbSeO
_cell_length_a 6.672
_cell_length_b 3.767
_cell_length_c 15.020
_cell_angle_alpha 90.00
_cell_angle_beta 90.00
_cell_angle_gamma 90.00
_symmetry_space_group_name_H-M 'P n m a'
_symmetry_Int_Tables_number 62
_symmetry_space_group_name_Hall '-P 2ac 2n'
loop_
_atom_site_label
_atom_site_type_symbol
_atom_site_fract_x
_atom_site_fract_y
_atom_site_fract_z
_atom_site_occupancy
Cd1 Cd 0.204 0.250 0.076 1
Pb1 Pb 0.118 0.750 0.305 1
Se1 Se 0.211 0.750 0.929 1
O1 O 0.209 0.250 0.648 1
```

Summary:
**Raw total energy**: -3.91 eV/atom
**Energy above the lowest structure with this stoichiometry**: 144 meV per atom

Entry 7:
Below is crystalline CdPbSeO at its relaxed geometry, with properties calculated at the GGA-PBE level.

```
data_CdPbSeO
_cell_length_a 10.370
_cell_length_b 18.832
_cell_length_c 4.276
_cell_angle_alpha 90.00
_cell_angle_beta 90.00
_cell_angle_gamma 90.00
_symmetry_space_group_name_H-M 'P b a m'
_symmetry_Int_Tables_number 55
_symmetry_space_group_name_Hall '-P 2 2ab'
loop_
_atom_site_label
_atom_site_type_symbol
_atom_site_fract_x
_atom_site_fract_y
_atom_site_fract_z
_atom_site_occupancy
Cd1 Cd 0.042 0.113 0.000 1
Cd2 Cd 0.148 0.630 0.000 1
Pb1 Pb 0.163 0.258 0.500 1
Pb2 Pb 0.239 0.486 0.500 1
Se1 Se 0.008 0.609 0.500 1
Se2 Se 0.092 0.853 0.500 1
O1 O 0.191 0.204 0.000 1
O2 O 0.202 0.036 0.000 1
```

Summary:
**Raw total energy**: -4.01 eV/atom
**Energy above the lowest structure with this stoichiometry**: 50 meV per atom

Entry 8:
Below is crystalline CdPbSeO at its relaxed geometry, with properties calculated at the GGA-PBE level.

```
data_CdPbSeO
_cell_length_a 6.287
_cell_length_b 9.797
_cell_length_c 6.175
_cell_angle_alpha 90.00
_cell_angle_beta 90.00
_cell_angle_gamma 90.00
_symmetry_space_group_name_H-M 'P c a 21'
_symmetry_Int_Tables_number 29
_symmetry_space_group_name_Hall 'P 2c -2ac'
loop_
_atom_site_label
_atom_site_type_symbol
_atom_site_fract_x
_atom_site_fract_y
_atom_site_fract_z
_atom_site_occupancy
Cd1 Cd 0.101 0.079 0.000 1
Pb1 Pb 0.004 0.669 0.102 1
Se1 Se 0.016 0.670 0.618 1
O1 O 0.069 0.095 0.639 1
```

Summary:
**Raw total energy**: -4.04 eV/atom
**Energy above the lowest structure with this stoichiometry**: 10 meV per atom

Entry 9:
Below is crystalline CdPbSeO at its relaxed geometry, with properties calculated at the GGA-PBE level.

```
data_CdPbSeO
_cell_length_a 3.271
_cell_length_b 16.339
_cell_length_c 6.012
_cell_angle_alpha 90.00
_cell_angle_beta 90.00
_cell_angle_gamma 90.00
_symmetry_space_group_name_H-M 'C m c m'
_symmetry_Int_Tables_number 63
_symmetry_space_group_name_Hall '-C 2c 2'
loop_
_atom_site_label
_atom_site_type_symbol
_atom_site_fract_x
_atom_site_fract_y
_atom_site_fract_z
_atom_site_occupancy
Cd1 Cd 0.000 0.050 0.250 1
Pb1 Pb 0.000 0.363 0.250 1
Se1 Se 0.000 0.308 0.750 1
O1 O 0.000 0.500 0.000 1
```

Summary:
**Raw total energy**: -3.79 eV/atom
**Energy above the lowest structure with this stoichiometry**: 270 meV per atom

Entry 10:
Below is crystalline CdPbSeO at its relaxed geometry, with properties calculated at the GGA-PBE level.

```
data_CdPbSeO
_cell_length_a 6.565
_cell_length_b 7.482
_cell_length_c 7.682
_cell_angle_alpha 90.00
_cell_angle_beta 90.00
_cell_angle_gamma 90.00
_symmetry_space_group_name_H-M 'P 21 21 21'
_symmetry_Int_Tables_number 19
_symmetry_space_group_name_Hall 'P 2ac 2ab'
loop_
_atom_site_label
_atom_site_type_symbol
_atom_site_fract_x
_atom_site_fract_y
_atom_site_fract_z
_atom_site_occupancy
Cd1 Cd 0.030 0.078 0.109 1
Pb1 Pb 0.068 0.659 0.858 1
Se1 Se 0.127 0.902 0.408 1
O1 O 0.135 0.360 0.515 1
```

Summary:
**Raw total energy**: -4.01 eV/atom
**Energy above the lowest structure with this stoichiometry**: 48 meV per atom